Entry 1:
Er2ThPt | PBE | relaxed

Lattice parameters (Å, degrees): 5.182 5.182 5.185 60.02 60.02 60.00
Each line ends with the local moment (μB).
Atoms (fractional coordinates):
Pt  0.000  0.000  0.000  0.06
Th  0.500  0.500  0.500  0.65
Er  0.250  0.250  0.250  0.43
Er  0.750  0.750  0.750  0.43

Output
ΔE_f: -156 meV per atom
Relative energy among the computed polymorphs: 512 meV per atom
Density of states at the Fermi level: 5.85 states/eV per cell
Total DFT energy (no corrections): -5.8024 eV/atom

Entry 2:
Rb2TeBr6N | PBE | relaxed

Lattice parameters (Å, degrees): 8.298 8.298 7.813 57.92 57.92 90.00
Each line ends with the local moment (μB).
Atoms (fractional coordinates):
Te  0.000  0.000  0.000  0.01
Br  0.283  0.283  0.434  0.06
Br  0.717  0.717  0.566  0.06
Br  0.233  0.233  0.000  0.02
Br  0.767  0.767  0.000  0.02
Br  0.767  0.233  0.000  0.02
Br  0.233  0.767  0.000  0.02
Rb  0.750  0.250  0.500  0.00
Rb  0.250  0.750  0.500  0.00
N  0.500  0.500  0.000  1.22

Output
Energy relative to the elements, uncorrected: -0.421 eV/atom
Density of states at the Fermi level: 1.52 states/eV per cell
Total DFT energy (no corrections): -2.7646 eV/atom

Entry 3:
PmTeH2O6 | PBE | relaxed

Lattice parameters (Å, degrees): 5.264 5.480 5.552 86.50 109.87 127.39
Each line ends with the local moment (μB).
Atoms (fractional coordinates):
Pm  0.997  0.498  0.480  -0.01
Te  0.997  0.998  0.980  -0.02
H  0.520  0.640  0.174  0.00
H  0.474  0.356  0.786  0.00
O  0.592  0.921  0.729  0.19
O  0.402  0.074  0.231  0.19
O  0.777  0.755  0.226  0.00
O  0.131  0.373  0.161  0.24
O  0.862  0.622  0.799  0.24
O  0.217  0.241  0.735  0.00

Output
Density of states at the Fermi level: 1.40 states/eV per cell
Total DFT energy (no corrections): -5.8994 eV/atom

Entry 4:
Ac6Sn3Bi | PBE | relaxed

Lattice parameters (Å, degrees): 8.373 10.211 10.211 104.96 90.00 90.00
Atoms (fractional coordinates):
Ac  0.146  0.725  0.639
Ac  0.646  0.639  0.725
Ac  0.238  0.457  0.905
Ac  0.738  0.905  0.457
Ac  0.261  0.998  0.002
Ac  0.634  0.255  0.745
Ac  0.134  0.745  0.255
Ac  0.761  0.002  0.998
Ac  0.238  0.095  0.543
Ac  0.738  0.543  0.095
Ac  0.146  0.361  0.275
Ac  0.646  0.275  0.361
Sn  0.482  0.932  0.717
Sn  0.982  0.717  0.932
Sn  0.354  0.421  0.579
Sn  0.854  0.579  0.421
Sn  0.982  0.068  0.283
Sn  0.482  0.283  0.068
Bi  0.004  0.169  0.831
Bi  0.504  0.831  0.169

Output
ΔE_f: -513 meV per atom
Density of states at the Fermi level: 12.97 states/eV per cell
Total DFT energy (no corrections): -4.5669 eV/atom

Entry 5:
TaHg2Pt | PBE | relaxed

Lattice parameters (Å, degrees): 5.082 5.082 5.244 79.69 79.69 34.40
Atoms (fractional coordinates):
Hg  0.001  0.001  0.997
Hg  0.499  0.499  0.503
Pt  0.750  0.750  0.750
Ta  0.250  0.250  0.250

Output
ΔE_f: 219 meV per atom
Relative energy among the computed polymorphs: 253 meV per atom
Density of states at the Fermi level: 2.49 states/eV per cell
Total DFT energy (no corrections): -4.4056 eV/atom

Entry 6:
RuPtS2Cl | PBE | relaxed

Lattice parameters (Å, degrees): 4.712 4.712 4.825 90.00 90.00 90.00
Each line ends with the local moment (μB).
Atoms (fractional coordinates):
Ru  0.500  0.500  0.500  2.98
S  0.000  0.500  0.000  0.23
S  0.500  0.000  0.000  0.23
Pt  0.000  0.000  0.000  0.11
Cl  0.000  0.000  0.500  0.08

Output
Energy relative to the elements, uncorrected: 0.953 eV/atom
Relative energy among the computed polymorphs: 180 meV per atom
Density of states at the Fermi level: 5.34 states/eV per cell
Total DFT energy (no corrections): -4.1308 eV/atom